1.
First-principles (PBE) data for a relaxed MnC2N crystal, as listed in Alexandria via LeMat-Bulk.

ΔE_f (raw) (eV per atom): 1.062
Symmetry: I-42d

Lattice parameters (Å, degrees): 4.435 4.435 4.435 120.95 120.95 88.37
Fractional positions:
Mn  0.000  0.000  0.000
Mn  0.750  0.250  0.500
C  0.205  0.625  0.080
C  0.375  0.455  0.580
C  0.545  0.125  0.920
C  0.875  0.795  0.420
N  0.250  0.750  0.500
N  0.500  0.500  0.000



2.
First-principles (PBE) data for a relaxed Ho3TmPb5 crystal, as listed in Alexandria via LeMat-Bulk.

Total energy (eV/f.u.): -40.227
Symmetry: P6_3/mcm

Lattice parameters (Å, degrees): 9.493 9.493 6.516 90.00 90.00 120.00
Fractional positions:
Ho  0.000  0.381  0.250
Ho  0.000  0.619  0.750
Ho  0.381  0.000  0.250
Ho  0.381  0.381  0.750
Ho  0.619  0.000  0.750
Ho  0.619  0.619  0.250
Tm  0.000  0.000  0.000
Tm  0.000  0.000  0.500
Pb  0.000  0.286  0.750
Pb  0.000  0.714  0.250
Pb  0.286  0.000  0.750
Pb  0.286  0.286  0.250
Pb  0.333  0.667  0.000
Pb  0.333  0.667  0.500
Pb  0.667  0.333  0.000
Pb  0.667  0.333  0.500
Pb  0.714  0.000  0.250
Pb  0.714  0.714  0.750



3.
First-principles (PBE) data for a relaxed CdH2Pt2 crystal, as listed in Alexandria via LeMat-Bulk.

Relative energy among the computed polymorphs (meV per atom): 40
Symmetry: P4/mbm

Lattice parameters (Å, degrees): 5.960 5.960 3.477 90.00 90.00 90.00
Fractional positions:
Cd  0.000  0.000  0.000
Cd  0.500  0.500  0.000
H  0.127  0.373  0.000
H  0.373  0.873  0.000
H  0.627  0.127  0.000
H  0.873  0.627  0.000
Pt  0.161  0.339  0.500
Pt  0.339  0.839  0.500
Pt  0.661  0.161  0.500
Pt  0.839  0.661  0.500



4.
First-principles (PBE) data for a relaxed KZrRh2 crystal, as listed in Alexandria via LeMat-Bulk.

Relative energy among the computed polymorphs (meV per atom): 316
Symmetry: Pm

Lattice parameters (Å, degrees): 3.307 4.311 7.165 90.00 102.25 90.00
Fractional positions:
K  0.000  0.000  0.000
Zr  0.251  0.500  0.542
Rh  0.623  0.500  0.266
Rh  0.741  0.000  0.523



5.
First-principles (PBE) data for a relaxed TaAuS2 crystal, as listed in Alexandria via LeMat-Bulk.

ΔE_f (raw) (eV per atom): 0.105
Symmetry: Fm-3m

Lattice parameters (Å, degrees): 4.505 4.505 4.505 60.00 60.00 60.00
Fractional positions:
Ta  0.000  0.000  0.000
Au  0.500  0.500  0.500
S  0.250  0.250  0.250
S  0.750  0.750  0.750



6.
First-principles (PBE) data for a relaxed InHg2Sb crystal, as listed in Alexandria via LeMat-Bulk.

ΔE_f (raw) (eV per atom): 0.033
Symmetry: Pm

Lattice parameters (Å, degrees): 3.150 6.210 5.825 90.00 92.58 90.00
Fractional positions:
In  0.000  0.000  0.000
Hg  0.485  0.000  0.501
Hg  0.977  0.500  0.501
Sb  0.981  0.500  0.001



7.
First-principles (PBE) data for a relaxed Mg2Ag3 crystal, as listed in Alexandria via LeMat-Bulk.

Relative energy among the computed polymorphs (meV per atom): 141
Symmetry: Ibam

Lattice parameters (Å, degrees): 7.108 7.108 7.108 124.73 73.62 135.41
Fractional positions:
Mg  0.173  0.244  0.417
Mg  0.327  0.744  0.070
Mg  0.673  0.256  0.930
Mg  0.827  0.756  0.583
Ag  0.090  0.647  0.736
Ag  0.250  0.250  0.000
Ag  0.410  0.147  0.557
Ag  0.590  0.853  0.443
Ag  0.750  0.750  0.000
Ag  0.910  0.353  0.264



8.
First-principles (PBE) data for a relaxed ErPuO6 crystal, as listed in Alexandria via LeMat-Bulk.

ΔE_f (raw) (eV per atom): -2.100
Symmetry: P-1

Lattice parameters (Å, degrees): 5.153 5.172 5.311 96.22 96.29 116.84
Fractional positions:
Er  0.000  0.000  0.000
Pu  0.500  0.500  0.500
O  0.146  0.431  0.269
O  0.256  0.255  0.723
O  0.433  0.148  0.270
O  0.567  0.852  0.730
O  0.744  0.745  0.277
O  0.854  0.569  0.731



9.
First-principles (PBE) data for a relaxed Sn2HgMoP crystal, as listed in Alexandria via LeMat-Bulk.

Total energy (eV/f.u.): -21.310
Symmetry: P4/mmm

Lattice parameters (Å, degrees): 5.314 5.314 4.570 90.00 90.00 90.00
Fractional positions:
Sn  0.000  0.500  0.000
Sn  0.500  0.000  0.000
Hg  0.000  0.000  0.500
Mo  0.500  0.500  0.500
P  0.500  0.500  0.000



10.
First-principles (PBE) data for a relaxed Dy3Tc2B9 crystal, as listed in Alexandria via LeMat-Bulk.

Total energy (eV/f.u.): -98.430
Symmetry: Immm

Lattice parameters (Å, degrees): 7.974 7.974 7.974 157.28 119.86 65.15
Fractional positions:
Dy  0.000  0.000  0.000
Dy  0.269  0.269  0.000
Dy  0.731  0.731  0.000
Tc  0.323  0.500  0.823
Tc  0.677  0.500  0.177
B  0.042  0.362  0.680
B  0.124  0.872  0.252
B  0.318  0.638  0.680
B  0.380  0.128  0.252
B  0.500  0.000  0.500
B  0.620  0.872  0.748
B  0.682  0.362  0.320
B  0.876  0.128  0.748
B  0.958  0.638  0.320



11.
First-principles (PBE) data for a relaxed InReW crystal, as listed in Alexandria via LeMat-Bulk.

Relative energy among the computed polymorphs (meV per atom): 120
Symmetry: Fmm2

Lattice parameters (Å, degrees): 7.514 7.274 2.855 83.62 74.19 22.19
Fractional positions:
In  0.000  0.000  0.000
Re  0.674  0.674  0.326
W  0.324  0.324  0.676



12.
First-principles (PBE) data for a relaxed Sr4PAuI2 crystal, as listed in Alexandria via LeMat-Bulk.

ΔE_f (raw) (eV per atom): -1.169
Symmetry: P2/m

Lattice parameters (Å, degrees): 7.977 4.516 8.481 90.00 107.08 90.00
Fractional positions:
Sr  0.224  0.000  0.194
Sr  0.258  0.500  0.796
Sr  0.742  0.500  0.204
Sr  0.776  0.000  0.806
P  0.000  0.500  0.000
Au  0.500  0.000  0.000
I  0.000  0.000  0.500
I  0.500  0.500  0.500



13.
First-principles (PBE) data for a relaxed CdIrAu2 crystal, as listed in Alexandria via LeMat-Bulk.

Total energy (eV/f.u.): -15.684
Symmetry: P4mm

Lattice parameters (Å, degrees): 2.914 2.914 8.282 90.00 90.00 90.00
Fractional positions:
Cd  0.000  0.000  0.000
Ir  0.500  0.500  0.239
Au  0.000  0.000  0.476
Au  0.500  0.500  0.734



14.
First-principles (PBE) data for a relaxed CsRb2BaAu crystal, as listed in Alexandria via LeMat-Bulk.

Total energy (eV/f.u.): -8.631
Symmetry: P4/mmm

Lattice parameters (Å, degrees): 7.178 7.178 6.512 90.00 90.00 90.00
Fractional positions:
Cs  0.000  0.000  0.000
Rb  0.000  0.500  0.500
Rb  0.500  0.000  0.500
Ba  0.500  0.500  0.000
Au  0.500  0.500  0.500



15.
First-principles (PBE) data for a relaxed ScBP2C crystal, as listed in Alexandria via LeMat-Bulk.

Relative energy among the computed polymorphs (meV per atom): 110
Symmetry: Cm

Lattice parameters (Å, degrees): 5.745 5.745 4.265 100.28 100.28 33.74
Fractional positions:
Sc  0.000  0.000  0.000
B  0.382  0.382  0.539
P  0.262  0.262  0.139
P  0.555  0.555  0.524
C  0.350  0.350  0.858



16.
First-principles (PBE) data for a relaxed YAsRu2 crystal, as listed in Alexandria via LeMat-Bulk.

Total energy (eV/f.u.): -30.149
Symmetry: P4mm

Lattice parameters (Å, degrees): 3.124 3.124 7.184 90.00 90.00 90.00
Fractional positions:
Y  0.000  0.000  0.000
As  0.500  0.500  0.317
Ru  0.000  0.000  0.496
Ru  0.500  0.500  0.733



17.
First-principles (PBE) data for a relaxed Pa2MnFe crystal, as listed in Alexandria via LeMat-Bulk.

Relative energy among the computed polymorphs (meV per atom): 0
Symmetry: P4/mmm

Lattice parameters (Å, degrees): 3.342 3.342 6.487 90.00 90.00 90.00
Fractional positions:
Pa  0.000  0.000  0.242
Pa  0.000  0.000  0.758
Mn  0.500  0.500  0.500
Fe  0.500  0.500  0.000



18.
First-principles (PBE) data for a relaxed LiCa2P2 crystal, as listed in Alexandria via LeMat-Bulk.

Relative energy among the computed polymorphs (meV per atom): 480
Symmetry: I4/mmm

Lattice parameters (Å, degrees): 9.766 9.766 9.766 158.12 158.12 31.14
Fractional positions:
Li  0.000  0.000  0.000
Ca  0.368  0.368  0.000
Ca  0.632  0.632  0.000
P  0.250  0.750  0.500
P  0.750  0.250  0.500



19.
First-principles (PBE) data for a relaxed CaRu3 crystal, as listed in Alexandria via LeMat-Bulk.

Total energy (eV/f.u.): -28.241
Symmetry: Immm

Lattice parameters (Å, degrees): 5.686 5.686 5.686 150.99 131.49 57.52
Fractional positions:
Ca  0.000  0.000  0.000
Ru  0.281  0.781  0.500
Ru  0.500  0.500  0.000
Ru  0.719  0.219  0.500



20.
First-principles (PBE) data for a relaxed LiPaSeO5 crystal, as listed in Alexandria via LeMat-Bulk.

ΔE_f (raw) (eV per atom): -2.148
Symmetry: C2/c

Lattice parameters (Å, degrees): 5.852 5.852 8.488 110.60 110.60 87.25
Fractional positions:
Li  0.050  0.950  0.750
Li  0.950  0.050  0.250
Pa  0.000  0.500  0.000
Pa  0.500  0.000  0.500
Se  0.402  0.598  0.750
Se  0.598  0.402  0.250
O  0.174  0.655  0.838
O  0.216  0.784  0.250
O  0.253  0.264  0.514
O  0.264  0.253  0.014
O  0.345  0.826  0.662
O  0.655  0.174  0.338
O  0.736  0.747  0.986
O  0.747  0.736  0.486
O  0.784  0.216  0.750
O  0.826  0.345  0.162